No. 1
# K3NaCr2Cl9, relaxed, DFT PBE
data_K3NaCr2Cl9
_chemical_formula_sum 'K3 Na1 Cr2 Cl9'
_symmetry_space_group_name_H-M 'P -3 m 1'
_symmetry_Int_Tables_number 164
_symmetry_space_group_name_Hall '-P 3 2"'
_cell_length_a 7.1013
_cell_length_b 7.1013
_cell_length_c 8.8131
_cell_angle_alpha 90.00
_cell_angle_beta 90.00
_cell_angle_gamma 120.00
loop_
_atom_site_label
_atom_site_fract_x
_atom_site_fract_y
_atom_site_fract_z
K1 0.0000 0.0000 0.0000
K2 0.3333 0.6667 0.6609
Na1 0.0000 0.0000 0.5000
Cr1 0.3333 0.6667 0.1623
Cl1 0.0000 0.5000 0.0000
Cl2 0.1747 0.3494 0.3138
# energy relative to the elements, uncorrected	-145	kJ/mol of atoms
# crystal system	trigonal


No. 2
# Ba4LiAg, relaxed, DFT PBE
data_Ba4LiAg
_chemical_formula_sum 'Ba16 Li4 Ag4'
_symmetry_space_group_name_H-M 'F -4 3 m'
_symmetry_Int_Tables_number 216
_symmetry_space_group_name_Hall 'F -4 2 3'
_cell_length_a 10.706
_cell_length_b 10.706
_cell_length_c 10.706
_cell_angle_alpha 90.00
_cell_angle_beta 90.00
_cell_angle_gamma 90.00
loop_
_atom_site_label
_atom_site_fract_x
_atom_site_fract_y
_atom_site_fract_z
Ba1 0.125 0.125 0.125
Li1 0.250 0.250 0.750
Ag1 0.000 0.000 0.500
# DFT formation energy	2.9	eV/f.u.
# crystal system	cubic


No. 3
# SbPt2Br, relaxed, DFT PBE
data_SbPt2Br
_chemical_formula_sum 'Sb2 Pt4 Br2'
_symmetry_space_group_name_H-M 'C 1 2/m 1'
_symmetry_Int_Tables_number 12
_symmetry_space_group_name_Hall '-C 2y'
_cell_length_a 5.792
_cell_length_b 7.636
_cell_length_c 4.781
_cell_angle_alpha 90.00
_cell_angle_beta 127.01
_cell_angle_gamma 90.00
loop_
_atom_site_label
_atom_site_fract_x
_atom_site_fract_y
_atom_site_fract_z
Sb1 0.000 0.000 0.000
Pt1 0.250 0.250 0.500
Br1 0.000 0.500 0.000
# energy relative to the elements, uncorrected	18	kJ/mol of atoms
# crystal system	monoclinic


No. 4
# PmSc2Pd, relaxed, DFT PBE
data_PmSc2Pd
_chemical_formula_sum 'Pm4 Sc8 Pd4'
_symmetry_space_group_name_H-M 'P n m a'
_symmetry_Int_Tables_number 62
_symmetry_space_group_name_Hall '-P 2ac 2n'
_cell_length_a 6.734
_cell_length_b 9.387
_cell_length_c 6.200
_cell_angle_alpha 90.00
_cell_angle_beta 90.00
_cell_angle_gamma 90.00
loop_
_atom_site_label
_atom_site_fract_x
_atom_site_fract_y
_atom_site_fract_z
Pm1 0.007 0.250 0.125
Sc1 0.176 0.055 0.673
Pd1 0.109 0.750 0.413
# DFT formation energy	-1.7	eV/f.u.
# crystal system	orthorhombic


No. 5
# Pr2Ho5Tm4, relaxed, DFT PBE
data_Pr2Ho5Tm4
_chemical_formula_sum 'Pr4 Ho10 Tm8'
_symmetry_space_group_name_H-M 'I m m m'
_symmetry_Int_Tables_number 71
_symmetry_space_group_name_Hall '-I 2 2'
_cell_length_a 3.462
_cell_length_b 11.437
_cell_length_c 18.308
_cell_angle_alpha 90.00
_cell_angle_beta 90.00
_cell_angle_gamma 90.00
loop_
_atom_site_label
_atom_site_fract_x
_atom_site_fract_y
_atom_site_fract_z
Pr1 0.000 0.000 0.204
Ho1 0.000 0.288 0.177
Ho2 0.000 0.500 0.500
Tm1 0.000 0.000 0.410
Tm2 0.000 0.278 0.000
# DFT formation energy	2.3	eV/f.u.
# crystal system	orthorhombic


No. 6
# Dy4Ho3Cu4, relaxed, DFT PBE
data_Dy4Ho3Cu4
_chemical_formula_sum 'Dy8 Ho6 Cu8'
_symmetry_space_group_name_H-M 'I m m m'
_symmetry_Int_Tables_number 71
_symmetry_space_group_name_Hall '-I 2 2'
_cell_length_a 4.817
_cell_length_b 7.303
_cell_length_c 15.039
_cell_angle_alpha 90.00
_cell_angle_beta 90.00
_cell_angle_gamma 90.00
loop_
_atom_site_label
_atom_site_fract_x
_atom_site_fract_y
_atom_site_fract_z
Dy1 0.000 0.220 0.172
Ho1 0.000 0.000 0.396
Ho2 0.000 0.500 0.500
Cu1 0.000 0.333 0.000
Cu2 0.000 0.500 0.300
# DFT formation energy	-0.9	eV/f.u.
# crystal system	orthorhombic


No. 7
# SbTe2RuCl, relaxed, DFT PBE
data_SbTe2RuCl
_chemical_formula_sum 'Sb1 Te2 Ru1 Cl1'
_symmetry_space_group_name_H-M 'P 4/m m m'
_symmetry_Int_Tables_number 123
_symmetry_space_group_name_Hall '-P 4 2'
_cell_length_a 5.298
_cell_length_b 5.298
_cell_length_c 5.049
_cell_angle_alpha 90.00
_cell_angle_beta 90.00
_cell_angle_gamma 90.00
loop_
_atom_site_label
_atom_site_fract_x
_atom_site_fract_y
_atom_site_fract_z
Sb1 0.000 0.000 0.000
Te1 0.000 0.500 0.500
Ru1 0.500 0.500 0.000
Cl1 0.000 0.000 0.500
# energy relative to the elements, uncorrected	141	kJ/mol of atoms
# crystal system	tetragonal


No. 8
# Ho5Ge2Sb2, relaxed, DFT PBE
data_Ho5Ge2Sb2
_chemical_formula_sum 'Ho20 Ge8 Sb8'
_symmetry_space_group_name_H-M 'C m c e'
_symmetry_Int_Tables_number 64
_symmetry_space_group_name_Hall '-C 2ac 2'
_cell_length_a 15.083
_cell_length_b 7.885
_cell_length_c 7.908
_cell_angle_alpha 90.00
_cell_angle_beta 90.00
_cell_angle_gamma 90.00
loop_
_atom_site_label
_atom_site_fract_x
_atom_site_fract_y
_atom_site_fract_z
Ho1 0.000 0.000 0.000
Ho2 0.127 0.163 0.337
Ge1 0.000 0.140 0.639
Sb1 0.205 0.000 0.000
# energy relative to the elements, uncorrected	-93	kJ/mol of atoms
# crystal system	orthorhombic


No. 9
# Co2SbH2, relaxed, DFT PBE
data_Co2SbH2
_chemical_formula_sum 'Co4 Sb2 H4'
_symmetry_space_group_name_H-M 'P 4/m b m'
_symmetry_Int_Tables_number 127
_symmetry_space_group_name_Hall '-P 4 2ab'
_cell_length_a 6.478
_cell_length_b 6.478
_cell_length_c 2.743
_cell_angle_alpha 90.00
_cell_angle_beta 90.00
_cell_angle_gamma 90.00
loop_
_atom_site_label
_atom_site_fract_x
_atom_site_fract_y
_atom_site_fract_z
Co1 0.119 0.381 0.000
Sb1 0.000 0.000 0.000
H1 0.080 0.580 0.500
# E_tot	-0.1647	hartree per atom
# crystal system	tetragonal


No. 10
# RbLiNF2, relaxed, DFT PBE
data_RbLiNF2
_chemical_formula_sum 'Rb1 Li1 N1 F2'
_symmetry_space_group_name_H-M 'P 4/m m m'
_symmetry_Int_Tables_number 123
_symmetry_space_group_name_Hall '-P 4 2'
_cell_length_a 4.221
_cell_length_b 4.221
_cell_length_c 4.252
_cell_angle_alpha 90.00
_cell_angle_beta 90.00
_cell_angle_gamma 90.00
loop_
_atom_site_label
_atom_site_fract_x
_atom_site_fract_y
_atom_site_fract_z
Rb1 0.000 0.000 0.000
Li1 0.500 0.500 0.500
N1 0.500 0.500 0.000
F1 0.000 0.500 0.500
# energy relative to the elements, uncorrected	-101	kJ/mol of atoms
# crystal system	tetragonal


No. 11
# BiCl2F, relaxed, DFT PBE
data_BiCl2F
_chemical_formula_sum 'Bi2 Cl4 F2'
_symmetry_space_group_name_H-M 'P 1 21/m 1'
_symmetry_Int_Tables_number 11
_symmetry_space_group_name_Hall '-P 2yb'
_cell_length_a 3.849
_cell_length_b 13.955
_cell_length_c 4.484
_cell_angle_alpha 90.00
_cell_angle_beta 115.42
_cell_angle_gamma 90.00
loop_
_atom_site_label
_atom_site_fract_x
_atom_site_fract_y
_atom_site_fract_z
Bi1 0.221 0.250 0.445
Cl1 0.352 0.616 0.702
F1 0.051 0.750 0.100
# energy relative to the elements, uncorrected	-139	kJ/mol of atoms
# crystal system	monoclinic


No. 12
# KFe2Ir, relaxed, DFT PBE
data_KFe2Ir
_chemical_formula_sum 'K1 Fe2 Ir1'
_symmetry_space_group_name_H-M 'P m m m'
_symmetry_Int_Tables_number 47
_symmetry_space_group_name_Hall '-P 2 2'
_cell_length_a 2.611
_cell_length_b 4.906
_cell_length_c 5.267
_cell_angle_alpha 90.00
_cell_angle_beta 90.00
_cell_angle_gamma 90.00
loop_
_atom_site_label
_atom_site_fract_x
_atom_site_fract_y
_atom_site_fract_z
K1 0.000 0.000 0.000
Fe1 0.000 0.500 0.500
Fe2 0.500 0.500 0.000
Ir1 0.500 0.000 0.500
# DFT formation energy	4.6	eV/f.u.
# crystal system	orthorhombic


No. 13
# AgPPd3, relaxed, DFT PBE
data_AgPPd3
_chemical_formula_sum 'Ag1 P1 Pd3'
_symmetry_space_group_name_H-M 'P m -3 m'
_symmetry_Int_Tables_number 221
_symmetry_space_group_name_Hall '-P 4 2 3'
_cell_length_a 4.481
_cell_length_b 4.481
_cell_length_c 4.481
_cell_angle_alpha 90.00
_cell_angle_beta 90.00
_cell_angle_gamma 90.00
loop_
_atom_site_label
_atom_site_fract_x
_atom_site_fract_y
_atom_site_fract_z
Ag1 0.000 0.000 0.000
P1 0.500 0.500 0.500
Pd1 0.000 0.500 0.500
# DFT formation energy	-0.7	eV/f.u.
# crystal system	cubic